A plane-wave DFT calculation with PBE was carried out for a relaxed ScCdB crystal.

The structure belongs to space group F-43m (No. 216); the cell edges are 5.8398, 5.8398 and 5.8398 Å and the angles 90.00°, 90.00° and 90.00°. The distinct sites, in fractional coordinates, are Sc at (0.0000, 0.0000, 0.0000), Cd at (0.0000, 0.0000, 0.5000) and B at (0.2500, 0.2500, 0.2500).

The calculation puts the formation enthalpy at 0 K at -0.219 eV/f.u. The offset from the most stable computed form is 417 meV/atom.